BaCoMo3 | GGA-PBE | optimized geometry

Computed properties:
Energy of formation from the pure elements = 3476 meV/atom
Symmetry = Pm-3m (221)
E above lowest polymorph = 2149 meV per atom
Crystal system = cubic

```
BaCoMo3
1.0
-2.203 -3.340 -2.806
4.251 -2.350 -0.540
-0.980 -2.684 3.965
Ba Co Mo
1 1 3
direct
0.000 0.000 0.000 Ba
0.500 0.500 0.500 Co
0.500 0.000 0.000 Mo
0.000 0.500 0.000 Mo
0.000 0.000 0.500 Mo
```